[1]
First-principles (PBE) data for TlIn2Ir after structural relaxation, as listed in the Alexandria database.

Cell: 4.6163 4.6163 8.0615 Å, 90.00 90.00 90.00°
Space group I4/mmm (No. 139)
Asymmetric unit:
Tl 0.0000 0.0000 0.0000 (multiplicity 2)
In 0.0000 0.5000 0.2500 (multiplicity 4)
Ir 0.0000 0.0000 0.5000 (multiplicity 2)

Properties
The calculation puts the formation energy at 1.3 eV/f.u. As for the crystal system: tetragonal. The density of states at the Fermi level comes out at 2.47 states/eV/f.u.

***

[2]
First-principles (PBE) data for NbMoS4 after structural relaxation, as listed in the Alexandria database.

Cell: 5.6953 3.2846 6.8556 Å, 90.00 106.58 90.00°
Space group Pm (No. 6)
Asymmetric unit:
Nb 0.0000 0.0000 0.0000 (multiplicity 1)
Mo 0.5072 0.5000 0.0002 (multiplicity 1)
S 0.2635 0.0000 0.7662 (multiplicity 1)
S 0.4239 0.0000 0.2342 (multiplicity 1)
S 0.7506 0.5000 0.7612 (multiplicity 1)
S 0.9148 0.5000 0.2393 (multiplicity 1)

Properties
As for the crystal system: monoclinic. The density of states at the Fermi level comes out at 3.62 states/eV/f.u.

***

Number 1: raw total energy -30.834 eV for the cell shown, ρ 12.11 g cm⁻³, energy above the most stable polymorph in this dataset 296 meV/atom. Number 2: raw total energy -43.038 eV for the cell shown, ρ 4.28 g cm⁻³, energy above the most stable polymorph in this dataset 0 meV/atom.